## Pu2ZnGa6 (GGA-PBE)

Data for crystalline Pu2ZnGa6 at its relaxed geometry.

Output
Calculated formation energy: -0.115 eV/atom
V: 20.32 Å³/atom

Cell lengths 4.629, 4.629, 8.536 Å; angles 90.00, 90.00, 90.00 degrees
Space group P4/mmm (No. 123)
One atom of each set of equivalent atoms:
Pu 0.000 0.000 0.249 (multiplicity 2)
Zn 0.500 0.500 0.000 (multiplicity 1)
Ga 0.000 0.500 0.000 (multiplicity 2)
Ga 0.000 0.500 0.500 (multiplicity 2)
Ga 0.500 0.500 0.305 (multiplicity 2)